The following is a DFT calculation (meta-GGA SCAN) of a PBEsol-optimized structure of Tl2IrW.

Calculated values
The theoretical density is 17.953 Mg/m³. As for the calculated formation energy: 0.987 eV/atom. For the magnetization, the calculation gives 0.0 μB per cell. For the energy above the most stable polymorph in this dataset, the calculation gives 0 meV/atom.

a = 2.9906 Å, b = 4.9088 Å, c = 5.3017 Å
α = 101.14°, β = 90.00°, γ = 107.73°
Atoms (fractional coordinates):
1 Ir 0.5000 0.0000 0.0000
2 Tl 0.7525 0.5050 0.7528
3 Tl 0.2475 0.4950 0.2472
4 W 0.0000 0.0000 0.5000